Density functional theory data (PBE) for ZnNi2Pt2 after structural relaxation.

a = 7.180 Å, b = 7.180 Å, c = 2.774 Å
α = 90.00°, β = 90.00°, γ = 90.00°
Sites, in units of the cell vectors:
1 Zn 0.000 0.000 0.000
2 Zn 0.500 0.500 0.000
3 Ni 0.120 0.380 0.000
4 Ni 0.380 0.880 0.000
5 Ni 0.620 0.120 0.000
6 Ni 0.880 0.620 0.000
7 Pt 0.177 0.677 0.500
8 Pt 0.323 0.177 0.500
9 Pt 0.677 0.823 0.500
10 Pt 0.823 0.323 0.500

## Properties
E_tot in eV/atom: -5.007
Density of states at the Fermi level in states/eV per cell: 12.55
Space-group type: P4/mbm, No. 127
Volume in Å³ per cell: 143.0



Density functional theory data (PBE) for BeIn2Os after structural relaxation.

a = 3.137 Å, b = 3.137 Å, c = 7.175 Å
α = 90.00°, β = 90.00°, γ = 90.00°
Sites, in units of the cell vectors:
1 Be 0.000 0.000 0.000
2 In 0.000 0.000 0.636
3 In 0.500 0.500 0.286
4 Os 0.500 0.500 0.897

## Properties
E_tot in eV/atom: -4.916
Density of states at the Fermi level in states/eV per cell: 0.84
Space-group type: P4mm, No. 99
Volume in Å³ per cell: 70.6



Density functional theory data (PBE) for TaRu2W after structural relaxation.

a = 5.298 Å, b = 5.298 Å, c = 5.298 Å
α = 146.00°, β = 130.15°, γ = 61.72°
Sites, in units of the cell vectors:
1 Ta 0.000 0.000 0.000
2 Ru 0.238 0.738 0.500
3 Ru 0.516 0.516 0.000
4 W 0.757 0.257 0.500

## Properties
Density of states at the Fermi level in states/eV per cell: 3.44
Energy above the lowest structure with this stoichiometry in meV per atom: 75
Space-group type: Imm2, No. 44
Volume in Å³ per cell: 62.9



Density functional theory data (PBE) for BaSmH3 after structural relaxation.

a = 4.517 Å, b = 4.517 Å, c = 4.517 Å
α = 90.00°, β = 90.00°, γ = 90.00°
Sites, in units of the cell vectors:
1 Ba 0.000 0.000 0.000
2 Sm 0.500 0.500 0.500
3 H 0.000 0.500 0.500
4 H 0.500 0.000 0.500
5 H 0.500 0.500 0.000

## Properties
E_tot in eV/atom: -3.673
Density of states at the Fermi level in states/eV per cell: 4.22
Space-group type: Pm-3m, No. 221
Volume in Å³ per cell: 92.2